# 1
The following is a DFT calculation (PBE) of a geometry-optimized MnHgPt3 structure.

Properties
M_tot (Bohr magnetons per cell): 0.002
Symmetry: No. 221
Density of states at the Fermi level (states/eV/cell): 7.287

Cell lengths 4.6094, 4.6094, 4.6094 Å; angles 90.00, 90.00, 90.00 degrees
Fractional positions:
Mn: 0.0000 0.0000 0.0000
Hg: 0.5000 0.5000 0.5000
Pt: 0.0000 0.5000 0.0000
Pt: 0.0000 0.0000 0.5000
Pt: 0.5000 0.0000 0.0000



# 2
The following is a DFT calculation (PBE) of a geometry-optimized MnHg2Pt structure.

Properties
M_tot (Bohr magnetons per cell): 3.899
Symmetry: No. 47
Density of states at the Fermi level (states/eV/cell): 2.511

Cell lengths 3.0337, 4.0086, 5.9707 Å; angles 90.00, 90.00, 90.00 degrees
Each line ends with the local moment (μB).
Fractional positions:
Hg: 0.0000 0.0000 0.0018  -0.03
Hg: 0.0000 0.0000 0.4982  -0.03
Mn: 0.5000 0.5000 0.2500  3.77
Pt: 0.5000 0.5000 0.7500  0.03



# 3
The following is a DFT calculation (PBE) of a geometry-optimized MnHg2Pt structure.

Properties
M_tot (Bohr magnetons per cell): 4.045
Symmetry: No. 166
Density of states at the Fermi level (states/eV/cell): 1.861

Cell lengths 9.2649, 9.2649, 9.2649 Å; angles 19.07, 19.07, 19.07 degrees
Each line ends with the local moment (μB).
Fractional positions:
Hg: 0.9992 0.9992 0.9992  0.00
Hg: 0.5008 0.5008 0.5008  0.00
Mn: 0.2500 0.2500 0.2500  3.73
Pt: 0.7500 0.7500 0.7500  0.13



Record-wise formation enthalpy at 0 K values, in eV/atom: 0.89, 0.16, 0.22